A relaxed Cs2Ni3BiF12 crystal, computed with GGA+U.

Cell and atoms, written as POSCAR:
```
Cs2Ni3BiF12
1.0
3.726 2.151 6.350
-3.726 2.151 6.350
0.000 -4.302 6.350
Cs Ni Bi F
2 3 1 12
direct
0.108 0.108 0.108
0.892 0.892 0.892
0.000 0.500 0.500
0.500 0.000 0.500
0.500 0.500 0.000
0.500 0.500 0.500
0.140 0.591 0.591
0.197 0.197 0.585
0.197 0.585 0.197
0.409 0.409 0.860
0.409 0.860 0.409
0.415 0.803 0.803
0.585 0.197 0.197
0.591 0.140 0.591
0.591 0.591 0.140
0.803 0.415 0.803
0.803 0.803 0.415
0.860 0.409 0.409
```

Output
- Energy: -4.3080 eV per atom
- Density of states at the Fermi level: 4.69 states/eV/f.u.